Entry from Alexandria: a geometry-optimized MnS2ClO structure (PBE+U).

Results
Polymorph energy (0 for the lowest one)   1.093 eV/atom
Crystal system   tetragonal
Magnetic moment   0.07 μB per atom
Symmetry   P4/mmm, No. 123

Cell lengths 4.383, 4.383, 4.595 Å; angles 90.00, 90.00, 90.00 degrees
Site moments in Bohr magnetons follow the coordinates.
Sites, in units of the cell vectors:
O: 0.500 0.500 0.500  -0.03
S: 0.000 0.500 0.000  0.03
S: 0.500 0.000 0.000  0.03
Cl: 0.000 0.000 0.500  0.17
Mn: 0.000 0.000 0.000  -0.55